# 1
# NdHo2Ag

NdHo2Ag after structural relaxation (GGA-PBE, Alexandria via LeMat-Bulk).

```
NdHo2Ag
1.0
4.801 0.000 0.000
0.000 4.801 0.000
0.000 0.000 4.860
Nd Ho Ag
1 2 1
direct
0.000 0.000 0.000
0.000 0.500 0.500
0.500 0.000 0.500
0.500 0.500 0.000
```

Properties
density = 8.627 g cm⁻³
offset from the most stable computed form = 156.4 meV/atom

# 2
# Ac2BeSiPt6

Ac2BeSiPt6 after structural relaxation (GGA-PBE, Alexandria via LeMat-Bulk).

```
Ac2BeSiPt6
1.0
5.706 0.000 0.000
2.845 5.935 0.000
2.843 0.879 5.946
Ac Be Si Pt
2 1 1 6
direct
0.247 0.297 0.209
0.753 0.703 0.791
0.500 0.500 0.500
0.000 0.000 0.000
0.240 0.766 0.265
0.254 0.855 0.636
0.271 0.234 0.735
0.729 0.766 0.265
0.746 0.145 0.364
0.760 0.234 0.735
```

Properties
formation energy (no corrections) = -944 meV per atom
density = 13.703 g cm⁻³

# 3
# AgTe4P

AgTe4P after structural relaxation (GGA-PBE, Alexandria via LeMat-Bulk).

```
AgTe4P
1.0
5.311 0.000 0.000
0.000 4.153 0.000
-0.221 0.000 7.206
Ag Te P
1 4 1
direct
0.000 0.000 0.000
0.286 0.000 0.672
0.311 0.500 0.180
0.689 0.500 0.820
0.714 0.000 0.328
0.000 0.500 0.500
```

Properties
formation energy (no corrections) = 96 meV per atom
density = 6.783 g cm⁻³
offset from the most stable computed form = 0.0 meV/atom

# 4
# Li2CeNpCl8

Li2CeNpCl8 after structural relaxation (GGA-PBE, Alexandria via LeMat-Bulk).

```
Li2CeNpCl8
1.0
4.796 0.000 0.000
0.056 6.756 0.000
0.038 2.245 9.315
Li Ce Np Cl
2 1 1 8
direct
0.145 0.002 0.254
0.855 0.998 0.746
0.500 0.500 0.000
0.500 0.500 0.500
0.000 0.255 0.541
0.000 0.745 0.459
0.005 0.249 0.043
0.494 0.749 0.212
0.497 0.249 0.294
0.503 0.751 0.706
0.506 0.251 0.788
0.995 0.751 0.957
```

Properties
formation energy (no corrections) = -1864 meV per atom
density = 3.712 g cm⁻³

# 5
# RbAlAu2

RbAlAu2 after structural relaxation (GGA-PBE, Alexandria via LeMat-Bulk).

```
RbAlAu2
1.0
3.981 -2.284 0.000
3.981 2.284 0.000
-2.657 0.000 6.330
Rb Al Au
1 1 2
direct
0.000 0.000 0.000
0.500 0.500 0.500
0.189 0.189 0.568
0.811 0.811 0.432
```

Properties
density = 7.306 g cm⁻³

# 6
# InRe3O

InRe3O after structural relaxation (GGA-PBE, Alexandria via LeMat-Bulk).

```
InRe3O
1.0
4.176 0.000 0.000
0.000 4.176 0.000
0.000 0.000 4.176
In Re O
1 3 1
direct
0.000 0.000 0.000
0.000 0.500 0.500
0.500 0.000 0.500
0.500 0.500 0.000
0.500 0.500 0.500
```

Properties
formation energy (no corrections) = 670 meV per atom
density = 15.726 g cm⁻³
offset from the most stable computed form = 0.0 meV/atom

Sequential VASP energy output: -4.1739 -6.3056 -3.3752 -4.9865 -3.1434 -8.3381 eV/atom